1.
DyPu2MnSe5: optimized geometry, PBE-GGA.

E_form (uncorrected) (eV/atom): -1.321
Theoretical density (g/cm³): 8.412

Cell lengths 4.0299, 17.4256, 12.3712 Å; angles 90.00, 90.00, 90.00 degrees
Space group Cmc2_1 (No. 36)
Inequivalent atoms, fractional coordinates:
Dy1 0.0000 0.1880 0.0000 (multiplicity 4)
Pu1 0.0000 0.1124 0.3159 (multiplicity 4)
Pu2 0.0000 0.1216 0.6666 (multiplicity 4)
Mn1 0.0000 0.4449 0.3941 (multiplicity 4)
Se1 0.0000 0.0190 0.9953 (multiplicity 4)
Se2 0.0000 0.3031 0.6616 (multiplicity 4)
Se3 0.0000 0.3095 0.3303 (multiplicity 4)
Se4 0.0000 0.3494 0.9894 (multiplicity 4)
Se5 0.0000 0.4958 0.7201 (multiplicity 4)

=====

2.
DyPu2MnTe5: optimized geometry, PBE-GGA.

E_form (uncorrected) (eV/atom): -0.908
Theoretical density (g/cm³): 8.397

Cell lengths 4.2717, 18.7578, 13.2621 Å; angles 90.00, 90.00, 90.00 degrees
Space group Cmc2_1 (No. 36)
Inequivalent atoms, fractional coordinates:
Dy1 0.0000 0.1835 0.0000 (multiplicity 4)
Pu1 0.0000 0.1091 0.3190 (multiplicity 4)
Pu2 0.0000 0.1243 0.6691 (multiplicity 4)
Mn1 0.0000 0.4393 0.3951 (multiplicity 4)
Te1 0.0000 0.0169 0.9962 (multiplicity 4)
Te2 0.0000 0.3048 0.3292 (multiplicity 4)
Te3 0.0000 0.3060 0.6643 (multiplicity 4)
Te4 0.0000 0.3461 0.9908 (multiplicity 4)
Te5 0.0000 0.4987 0.7212 (multiplicity 4)

=====

3.
Rb2Dy2MnS6: optimized geometry, PBE-GGA.

E_form (uncorrected) (eV/atom): -1.425
Theoretical density (g/cm³): 4.093

Cell lengths 6.7188, 11.4594, 8.1788 Å; angles 90.00, 106.70, 90.00 degrees
Space group C2/m (No. 12)
Inequivalent atoms, fractional coordinates:
Rb1 0.0000 0.1726 0.0000 (multiplicity 4)
Dy1 0.0000 0.3328 0.5000 (multiplicity 4)
Mn1 0.0000 0.0000 0.5000 (multiplicity 2)
S1 0.2139 0.1490 0.6806 (multiplicity 8)
S2 0.2328 0.0000 0.3222 (multiplicity 4)

=====

4.
Rb2DyMnS4: optimized geometry, PBE-GGA.

E_form (uncorrected) (eV/atom): -1.158
Theoretical density (g/cm³): 4.174

Cell lengths 8.0829, 8.3140, 12.2332 Å; angles 90.00, 90.00, 90.00 degrees
Space group Imma (No. 74)
Inequivalent atoms, fractional coordinates:
Rb1 0.0000 0.0000 0.0000 (multiplicity 4)
Rb2 0.2500 0.2500 0.2500 (multiplicity 4)
Dy1 0.0000 0.0000 0.5000 (multiplicity 4)
Mn1 0.2500 0.2500 0.7500 (multiplicity 4)
S1 0.0000 0.0681 0.7355 (multiplicity 8)
S2 0.2160 0.2500 0.5111 (multiplicity 8)

=====

5.
RbDyMnSe3: optimized geometry, PBE-GGA.

E_form (uncorrected) (eV/atom): -1.300
Theoretical density (g/cm³): 4.752

Cell lengths 9.3468, 4.2427, 10.0799 Å; angles 90.00, 109.32, 90.00 degrees
Space group P2_1/m (No. 11)
Inequivalent atoms, fractional coordinates:
Rb1 0.2115 0.2500 0.2380 (multiplicity 2)
Dy1 0.3325 0.7500 0.8618 (multiplicity 2)
Mn1 0.0860 0.2500 0.6103 (multiplicity 2)
Se1 0.1183 0.2500 0.8624 (multiplicity 2)
Se2 0.2022 0.7500 0.5420 (multiplicity 2)
Se3 0.4685 0.7500 0.1574 (multiplicity 2)

=====

6.
RbDyMn2Se4: optimized geometry, PBE-GGA.

E_form (uncorrected) (eV/atom): -0.618
Theoretical density (g/cm³): 4.413

Cell lengths 6.8847, 8.2463, 8.9302 Å; angles 90.00, 90.00, 90.00 degrees
Space group I222 (No. 23)
Inequivalent atoms, fractional coordinates:
Rb1 0.0000 0.0000 0.0000 (multiplicity 2)
Dy1 0.0000 0.0000 0.5000 (multiplicity 2)
Mn1 0.0000 0.5000 0.1088 (multiplicity 4)
Se1 0.2492 0.3271 0.8182 (multiplicity 8)

=====

7.
Rb2DyMn2Se4: optimized geometry, PBE-GGA.

E_form (uncorrected) (eV/atom): -1.088
Theoretical density (g/cm³): 4.963

Cell lengths 15.5424, 4.2189, 8.1968 Å; angles 90.00, 109.05, 90.00 degrees
Space group C2/m (No. 12)
Inequivalent atoms, fractional coordinates:
Rb1 0.1316 0.0000 0.0538 (multiplicity 4)
Dy1 0.0000 0.0000 0.5000 (multiplicity 2)
Mn1 0.1791 0.5000 0.4837 (multiplicity 4)
Se1 0.0201 0.5000 0.2714 (multiplicity 4)
Se2 0.1980 0.0000 0.6706 (multiplicity 4)

=====

8.
Rb4Dy3MnTe8: optimized geometry, PBE-GGA.

E_form (uncorrected) (eV/atom): -1.125
Theoretical density (g/cm³): 5.371

Cell lengths 8.9249, 8.9249, 25.6147 Å; angles 90.00, 90.00, 120.00 degrees
Space group R-3m (No. 166, hexagonal axes)
Inequivalent atoms, fractional coordinates:
Rb1 0.0000 0.0000 0.0000 (multiplicity 3)
Rb2 0.0000 0.5000 0.0000 (multiplicity 9)
Dy1 0.0000 0.5000 0.5000 (multiplicity 9)
Mn1 0.0000 0.0000 0.5000 (multiplicity 3)
Te1 0.0000 0.0000 0.2339 (multiplicity 6)
Te2 0.0168 0.5084 0.2302 (multiplicity 18)